(1)
# LaSm2Ho9

Crystalline LaSm2Ho9 at its relaxed geometry (PBE-GGA, Alexandria).

The structure belongs to space group P6/mmm (No. 191); the cell edges are 11.2752, 11.2752 and 3.5251 Å and the angles 90.00°, 90.00° and 120.00°. The asymmetric unit holds La at (0.0000, 0.0000, 0.0000), Sm at (0.3333, 0.6667, 0.0000), Ho at (0.0000, 0.5000, 0.0000) and Ho at (0.1778, 0.3555, 0.5000).

The electronic total energy comes out at -4.5824 eV per atom. Its excess energy over the best structure of this formula in the dataset is 22.4 meV/atom. The energy of formation from the pure elements comes out at 1.1 kcal/mol of atoms.

***

(2)
# ReMo2Ru

Crystalline ReMo2Ru at its relaxed geometry (PBE-GGA, Alexandria).

The structure belongs to space group P2/m (No. 10); the cell edges are 2.7109, 4.3499 and 5.2671 Å and the angles 90.00°, 100.77° and 90.00°. The asymmetric unit holds Re at (0.0000, 0.0000, 0.0000), Mo at (0.2078, 0.5000, 0.7485) and Ru at (0.5000, 0.0000, 0.5000).

The electronic total energy comes out at -10.6879 eV per atom. Its excess energy over the best structure of this formula in the dataset is 47.4 meV/atom. The energy of formation from the pure elements comes out at 3.7 kcal/mol of atoms.

***

(3)
# Ho3TaTl3Se8

Crystalline Ho3TaTl3Se8 at its relaxed geometry (PBE-GGA, Alexandria).

The structure belongs to space group R-3m (No. 166, hexagonal axes); the cell edges are 8.0549, 8.0549 and 23.8262 Å and the angles 90.00°, 90.00° and 120.00°. The asymmetric unit holds Ho at (0.0000, 0.5000, 0.0000), Ta at (0.0000, 0.0000, 0.0000), Tl at (0.0000, 0.5000, 0.5000), Se at (0.0000, 0.0000, 0.2649) and Se at (0.0228, 0.5114, 0.7318).

The electronic total energy comes out at -5.2462 eV per atom. As for the uncorrected formation energy: -1.21 eV/atom.

***

(4)
# LiHo3In3Ru2

Crystalline LiHo3In3Ru2 at its relaxed geometry (PBE-GGA, Alexandria).

The structure belongs to space group P-62m (No. 189); the cell edges are 7.6177, 7.6177 and 3.8020 Å and the angles 90.00°, 90.00° and 120.00°. The asymmetric unit holds Li at (0.0000, 0.0000, 0.0000), Ho at (0.0000, 0.4174, 0.0000), In at (0.0000, 0.7414, 0.5000) and Ru at (0.3333, 0.6667, 0.5000).

The electronic total energy comes out at -5.0879 eV per atom. The energy of formation from the pure elements comes out at -8.7 kcal/mol of atoms.

***

(5)
# ThAlCuSi2

Crystalline ThAlCuSi2 at its relaxed geometry (PBE-GGA, Alexandria).

The structure belongs to space group I-4m2 (No. 119); the cell edges are 4.0160, 4.0160 and 11.0445 Å and the angles 90.00°, 90.00° and 90.00°. The asymmetric unit holds Th at (0.0000, 0.0000, 0.0000), Al at (0.0000, 0.5000, 0.2500), Cu at (0.0000, 0.5000, 0.7500) and Si at (0.0000, 0.0000, 0.3875).

The electronic total energy comes out at -5.6707 eV per atom. As for the uncorrected formation energy: -0.45 eV/atom.

***

(6)
# BaScCuAg2

Crystalline BaScCuAg2 at its relaxed geometry (PBE-GGA, Alexandria).

The structure belongs to space group P4/mmm (No. 123); the cell edges are 5.7398, 5.7398 and 6.0389 Å and the angles 90.00°, 90.00° and 90.00°. The asymmetric unit holds Ba at (0.0000, 0.0000, 0.0000), Sc at (0.0000, 0.0000, 0.5000), Cu at (0.5000, 0.5000, 0.5000) and Ag at (0.0000, 0.5000, 0.0000).

The electronic total energy comes out at -2.0470 eV per atom. The energy of formation from the pure elements comes out at 36.1 kcal/mol of atoms.

***

(7)
# CaCF2

Crystalline CaCF2 at its relaxed geometry (PBE-GGA, Alexandria).

The structure belongs to space group Fm-3m (No. 225); the cell edges are 5.8714, 5.8714 and 5.8714 Å and the angles 90.00°, 90.00° and 90.00°. The asymmetric unit holds Ca at (0.0000, 0.0000, 0.0000), C at (0.0000, 0.0000, 0.5000) and F at (0.2500, 0.2500, 0.2500).

The electronic total energy comes out at -4.5722 eV per atom. Its excess energy over the best structure of this formula in the dataset is 179.1 meV/atom. As for the uncorrected formation energy: -0.83 eV/atom.

***

(8)
# Nd3Sm4ThS8

Crystalline Nd3Sm4ThS8 at its relaxed geometry (PBE-GGA, Alexandria).

The structure belongs to space group R-3m (No. 166, hexagonal axes); the cell edges are 8.0644, 8.0644 and 19.8073 Å and the angles 90.00°, 90.00° and 120.00°. The asymmetric unit holds Nd at (0.0000, 0.5000, 0.0000), Sm at (0.0000, 0.0000, 0.5000), Sm at (0.0000, 0.5000, 0.5000), Th at (0.0000, 0.0000, 0.0000), S at (0.0000, 0.0000, 0.2481) and S at (0.0018, 0.5009, 0.7514).

The electronic total energy comes out at -6.5958 eV per atom. As for the uncorrected formation energy: -1.99 eV/atom.

***

(9)
# CrCd3Sn

Crystalline CrCd3Sn at its relaxed geometry (PBE-GGA, Alexandria).

The structure belongs to space group Pm-3m (No. 221); the cell edges are 5.2323, 5.2323 and 5.2323 Å and the angles 90.00°, 90.00° and 90.00°. The asymmetric unit holds Cr at (0.0000, 0.0000, 0.0000), Cd at (0.0000, 0.0000, 0.5000) and Sn at (0.5000, 0.5000, 0.5000).

The electronic total energy comes out at -2.6271 eV per atom. Its excess energy over the best structure of this formula in the dataset is 0.0 meV/atom. The energy of formation from the pure elements comes out at 14.9 kcal/mol of atoms.

***

(10)
# In

Crystalline In at its relaxed geometry (PBE-GGA, Alexandria).

The structure belongs to space group Cmcm (No. 63); the cell edges are 3.6739, 5.4988 and 5.4194 Å and the angles 90.00°, 90.00° and 90.00°. The asymmetric unit holds In at (0.0000, 0.1993, 0.2500).

The electronic total energy comes out at -2.7181 eV per atom. Its excess energy over the best structure of this formula in the dataset is 20.4 meV/atom. The energy of formation from the pure elements comes out at 0.5 kcal/mol of atoms.

***

(11)
# VBOsW2

Crystalline VBOsW2 at its relaxed geometry (PBE-GGA, Alexandria).

The structure belongs to space group P4/mmm (No. 123); the cell edges are 4.5061, 4.5061 and 4.4098 Å and the angles 90.00°, 90.00° and 90.00°. The asymmetric unit holds V at (0.0000, 0.0000, 0.0000), B at (0.5000, 0.5000, 0.5000), Os at (0.0000, 0.0000, 0.5000) and W at (0.0000, 0.5000, 0.0000).

The electronic total energy comes out at -8.0890 eV per atom. The energy of formation from the pure elements comes out at 57.6 kcal/mol of atoms.

***

| no. | DOS at the Fermi energy (states/eV per cell) |
| --- | --- |
| 1 | 17.98 |
| 2 | 4.38 |
| 3 | 12.61 |
| 4 | 7.28 |
| 5 | 4.75 |
| 6 | 5.09 |
| 7 | 18.78 |
| 8 | 29.66 |
| 9 | 2.89 |
| 10 | 1.83 |
| 11 | 5.98 |